# 1
Li2SiAs: optimized geometry, GGA-PBE.

Lattice parameters (Å, degrees): 4.633 2.920 4.593 89.98 90.00 90.00
Sites, in units of the cell vectors:
As 0.500 0.625 0.763
Li 0.500 0.126 0.277
Li 0.000 0.124 0.979
Si 0.000 0.625 0.481

* M_tot: 0.00 Bohr magnetons per cell
* ΔE_f (raw): -23.24 kJ per mole of atoms
* energy: -3.716 eV/atom
* energy above the most stable polymorph in this dataset: 5.3 kJ per mole of atoms

# 2
Si2TeSeN: optimized geometry, GGA-PBE.

Lattice parameters (Å, degrees): 4.352 4.600 4.352 90.00 90.00 90.00
Sites, in units of the cell vectors:
Se 0.000 0.500 0.000
Si 0.500 0.000 0.000
Si 0.000 0.000 0.500
Te 0.500 0.500 0.500
N 0.000 0.000 0.000

* M_tot: 0.00 Bohr magnetons per cell
* ΔE_f (raw): 80.00 kJ per mole of atoms
* energy: -4.330 eV/atom

# 3
LiTe2Au: optimized geometry, GGA-PBE.

Lattice parameters (Å, degrees): 8.423 6.206 8.193 90.00 90.00 89.83
Sites, in units of the cell vectors:
Te 0.968 0.006 0.249
Te 0.968 0.506 0.251
Te 0.383 0.760 0.307
Te 0.032 0.494 0.749
Te 0.383 0.260 0.193
Te 0.617 0.240 0.693
Te 0.032 0.994 0.751
Te 0.617 0.740 0.807
Li 0.188 0.745 0.015
Li 0.188 0.245 0.485
Li 0.812 0.755 0.515
Li 0.812 0.255 0.985
Au 0.350 0.991 0.749
Au 0.350 0.491 0.751
Au 0.650 0.509 0.249
Au 0.650 0.009 0.251

* M_tot: 0.00 Bohr magnetons per cell
* ΔE_f (raw): -29.19 kJ per mole of atoms
* energy: -3.171 eV/atom

# 4
Be3TeIr: optimized geometry, GGA-PBE.

Lattice parameters (Å, degrees): 4.453 4.453 4.453 90.00 90.00 90.00
Sites, in units of the cell vectors:
Be 0.000 0.500 0.000
Be 0.000 0.000 0.500
Be 0.500 0.000 0.000
Te 0.000 0.000 0.000
Ir 0.500 0.500 0.500

* M_tot: 0.00 Bohr magnetons per cell
* ΔE_f (raw): 158.46 kJ per mole of atoms
* energy: -2.994 eV/atom
* energy above the most stable polymorph in this dataset: 121.1 kJ per mole of atoms

# 5
SrSb2Br8: optimized geometry, GGA-PBE.

Lattice parameters (Å, degrees): 8.079 8.421 8.421 73.01 73.15 73.15
Sites, in units of the cell vectors:
Br 0.786 0.715 0.113
Br 0.214 0.887 0.285
Br 0.818 0.661 0.661
Br 0.314 0.790 0.790
Br 0.182 0.339 0.339
Br 0.686 0.210 0.210
Br 0.214 0.285 0.887
Br 0.786 0.113 0.715
Sb 0.385 0.147 0.147
Sb 0.615 0.853 0.853
Sr 0.000 0.000 0.000

* M_tot: 0.00 Bohr magnetons per cell
* ΔE_f (raw): -89.72 kJ per mole of atoms
* energy: -3.049 eV/atom
* energy above the most stable polymorph in this dataset: 0.0 kJ per mole of atoms

# 6
GdPaFe2: optimized geometry, GGA-PBE.

Lattice parameters (Å, degrees): 3.495 3.495 7.673 76.84 76.84 60.00
Sites, in units of the cell vectors:
Fe 0.740 0.740 0.780
Fe 0.260 0.260 0.220
Pa 0.000 0.000 0.000
Gd 0.500 0.500 0.500

* M_tot: 5.88 Bohr magnetons per cell
* energy: -9.956 eV/atom
* energy above the most stable polymorph in this dataset: 21.1 kJ per mole of atoms

# 7
GeBPCl2: optimized geometry, GGA-PBE.

Lattice parameters (Å, degrees): 4.266 4.266 4.591 90.00 90.00 90.00
Sites, in units of the cell vectors:
P 0.000 0.000 0.500
Ge 0.500 0.500 0.500
Cl 0.500 0.000 0.000
Cl 0.000 0.500 0.000
B 0.000 0.000 0.000

* M_tot: 0.00 Bohr magnetons per cell
* ΔE_f (raw): 56.80 kJ per mole of atoms
* energy: -3.491 eV/atom
* energy above the most stable polymorph in this dataset: 0.0 kJ per mole of atoms

# 8
Nd2SmIn3: optimized geometry, GGA-PBE.

Lattice parameters (Å, degrees): 5.462 8.638 7.716 90.00 90.00 71.57
Sites, in units of the cell vectors:
Nd 0.000 0.000 0.500
Nd 0.334 0.332 0.500
Nd 0.000 0.000 0.000
Nd 0.666 0.668 0.500
In 0.832 0.335 0.247
In 0.832 0.335 0.753
In 0.500 0.000 0.247
In 0.168 0.665 0.753
In 0.168 0.665 0.247
In 0.500 0.000 0.753
Sm 0.667 0.666 0.000
Sm 0.333 0.334 0.000

* M_tot: 0.00 Bohr magnetons per cell
* energy: -4.240 eV/atom
* energy above the most stable polymorph in this dataset: 0.0 kJ per mole of atoms

# 9
Sm2Y7Er12: optimized geometry, GGA-PBE.

Lattice parameters (Å, degrees): 3.522 14.782 14.782 120.00 90.00 90.00
Sites, in units of the cell vectors:
Sm 0.500 0.000 0.000
Sm 0.000 0.667 0.333
Y 0.500 0.481 0.101
Y 0.000 0.050 0.814
Y 0.000 0.333 0.667
Y 0.500 0.620 0.519
Y 0.000 0.186 0.236
Y 0.000 0.764 0.950
Y 0.500 0.899 0.380
Er 0.000 0.518 0.918
Er 0.000 0.399 0.482
Er 0.500 0.272 0.839
Er 0.500 0.410 0.281
Er 0.000 0.257 0.049
Er 0.500 0.161 0.433
Er 0.500 0.719 0.128
Er 0.000 0.951 0.207
Er 0.500 0.567 0.728
Er 0.000 0.793 0.743
Er 0.000 0.082 0.601
Er 0.500 0.872 0.590

* M_tot: 2.82 Bohr magnetons per cell
* energy: -5.169 eV/atom

# 10
Cu3SnSe: optimized geometry, GGA-PBE.

Lattice parameters (Å, degrees): 4.658 4.658 4.658 90.00 90.00 90.00
Sites, in units of the cell vectors:
Cu 0.000 0.000 0.500
Cu 0.500 0.000 0.000
Cu 0.000 0.500 0.000
Se 0.000 0.000 0.000
Sn 0.500 0.500 0.500

* M_tot: 0.00 Bohr magnetons per cell
* ΔE_f (raw): 41.48 kJ per mole of atoms
* energy: -3.525 eV/atom
* energy above the most stable polymorph in this dataset: 0.0 kJ per mole of atoms

# 11
MgReP2N6: optimized geometry, GGA-PBE.

Lattice parameters (Å, degrees): 4.891 6.555 6.555 89.30 82.08 82.08
Sites, in units of the cell vectors:
N 0.653 0.773 0.976
N 0.347 0.227 0.024
N 0.612 0.179 0.601
N 0.615 0.423 0.281
N 0.112 0.601 0.179
N 0.115 0.281 0.423
N 0.847 0.024 0.227
N 0.388 0.821 0.399
N 0.153 0.976 0.773
N 0.885 0.719 0.577
N 0.888 0.399 0.821
N 0.385 0.577 0.719
Re 0.250 0.263 0.737
Re 0.750 0.737 0.263
P 0.302 0.383 0.222
P 0.802 0.222 0.383
P 0.198 0.778 0.617
P 0.698 0.617 0.778
Mg 0.250 0.911 0.089
Mg 0.750 0.089 0.911

* M_tot: 0.00 Bohr magnetons per cell
* ΔE_f (raw): -27.17 kJ per mole of atoms
* energy: -7.763 eV/atom

# 12
TmInCoCu: optimized geometry, GGA-PBE.

Lattice parameters (Å, degrees): 4.604 4.604 4.604 60.00 60.00 60.00
Sites, in units of the cell vectors:
Cu 0.250 0.250 0.250
Co 0.750 0.750 0.750
Tm 0.000 0.000 0.000
In 0.500 0.500 0.500

* M_tot: 0.69 Bohr magnetons per cell
* energy: -4.780 eV/atom

# 13
Tl2AgS2: optimized geometry, GGA-PBE.

Lattice parameters (Å, degrees): 3.804 6.431 6.734 118.53 106.41 90.00
Sites, in units of the cell vectors:
Tl 0.345 0.345 0.691
Tl 0.655 0.655 0.309
S 0.649 0.149 0.297
S 0.351 0.851 0.703
Ag 0.000 0.000 0.000

* M_tot: 0.00 Bohr magnetons per cell
* ΔE_f (raw): -14.29 kJ per mole of atoms
* energy: -3.316 eV/atom
* energy above the most stable polymorph in this dataset: 0.0 kJ per mole of atoms

# 14
CeGdSb: optimized geometry, GGA-PBE.

Lattice parameters (Å, degrees): 4.089 4.089 5.922 110.20 110.20 90.00
Sites, in units of the cell vectors:
Sb 0.611 0.611 0.222
Ce 0.269 0.269 0.539
Gd 0.969 0.969 0.939

* M_tot: 8.80 Bohr magnetons per cell
* ΔE_f (raw): -58.94 kJ per mole of atoms
* energy: -8.657 eV/atom
* energy above the most stable polymorph in this dataset: 0.0 kJ per mole of atoms

# 15
ZnPI2O: optimized geometry, GGA-PBE.

Lattice parameters (Å, degrees): 5.676 5.676 3.591 90.00 90.00 90.00
Sites, in units of the cell vectors:
P 0.000 0.000 0.000
Zn 0.500 0.500 0.500
O 0.000 0.000 0.500
I 0.500 0.000 0.000
I 0.000 0.500 0.000

* M_tot: 0.00 Bohr magnetons per cell
* ΔE_f (raw): -6.65 kJ per mole of atoms
* energy: -3.017 eV/atom
* energy above the most stable polymorph in this dataset: 0.0 kJ per mole of atoms

# 16
BaMgZr: optimized geometry, GGA-PBE.

Lattice parameters (Å, degrees): 8.834 4.483 10.422 90.00 90.00 90.00
Sites, in units of the cell vectors:
Ba 0.839 0.250 0.431
Ba 0.339 0.250 0.069
Ba 0.161 0.750 0.569
Ba 0.661 0.750 0.931
Zr 0.429 0.250 0.425
Zr 0.071 0.750 0.925
Zr 0.929 0.250 0.075
Zr 0.571 0.750 0.575
Mg 0.899 0.250 0.776
Mg 0.399 0.250 0.724
Mg 0.101 0.750 0.224
Mg 0.601 0.750 0.276

* M_tot: 0.00 Bohr magnetons per cell
* energy: -3.572 eV/atom
* energy above the most stable polymorph in this dataset: 21.1 kJ per mole of atoms

# 17
TlC: optimized geometry, GGA-PBE.

Lattice parameters (Å, degrees): 6.376 6.376 3.879 90.00 90.00 90.00
Sites, in units of the cell vectors:
Tl 0.295 0.705 0.500
Tl 0.795 0.795 0.000
Tl 0.705 0.295 0.500
Tl 0.205 0.205 0.000
C 0.659 0.659 0.500
C 0.341 0.341 0.500
C 0.159 0.841 0.000
C 0.841 0.159 0.000

* M_tot: 0.02 Bohr magnetons per cell
* energy: -3.795 eV/atom
* energy above the most stable polymorph in this dataset: 117.3 kJ per mole of atoms

# 18
AcPr2NdY2: optimized geometry, GGA-PBE.

Lattice parameters (Å, degrees): 3.514 6.788 18.405 90.00 90.00 90.00
Sites, in units of the cell vectors:
Nd 0.000 0.000 0.500
Nd 0.500 0.500 0.000
Pr 0.500 0.793 0.654
Pr 0.000 0.293 0.846
Pr 0.500 0.207 0.346
Pr 0.000 0.707 0.154
Y 0.500 0.714 0.318
Y 0.000 0.214 0.182
Y 0.500 0.286 0.682
Y 0.000 0.786 0.818
Ac 0.500 0.500 0.500
Ac 0.000 0.000 0.000

* M_tot: 0.00 Bohr magnetons per cell
* energy: -4.956 eV/atom

# 19
Rb3B2O4: optimized geometry, GGA-PBE.

Lattice parameters (Å, degrees): 2.814 6.815 10.913 119.27 90.00 101.91
Sites, in units of the cell vectors:
B 0.594 0.189 0.337
B 0.406 0.811 0.663
Rb 0.335 0.670 0.321
Rb 0.665 0.330 0.679
Rb 0.000 0.000 0.000
O 0.638 0.275 0.254
O 0.070 0.139 0.387
O 0.362 0.725 0.746
O 0.930 0.861 0.613

* M_tot: 0.00 Bohr magnetons per cell
* ΔE_f (raw): -142.75 kJ per mole of atoms
* energy: -5.490 eV/atom
* energy above the most stable polymorph in this dataset: 39.9 kJ per mole of atoms

# 20
Dy6TmIn6: optimized geometry, GGA-PBE.

Lattice parameters (Å, degrees): 6.273 6.273 10.690 90.00 90.00 119.99
Sites, in units of the cell vectors:
In 0.500 0.500 0.754
In 0.500 0.500 0.246
In 0.000 0.500 0.246
In 0.500 0.000 0.246
In 0.500 0.000 0.754
In 0.000 0.500 0.754
Dy 0.333 0.667 0.000
Dy 0.333 0.667 0.500
Dy 0.000 0.000 0.664
Dy 0.000 0.000 0.336
Dy 0.667 0.333 0.000
Dy 0.667 0.333 0.500
Tm 0.000 0.000 0.000

* M_tot: 0.48 Bohr magnetons per cell
* energy: -4.035 eV/atom

# 21
Co2CuAs: optimized geometry, GGA-PBE.

Lattice parameters (Å, degrees): 8.170 8.170 8.170 19.19 19.19 19.19
Sites, in units of the cell vectors:
Co 0.000 0.000 0.000
Co 0.254 0.254 0.254
Cu 0.503 0.503 0.503
As 0.743 0.743 0.743

* M_tot: 2.63 Bohr magnetons per cell
* energy: -5.480 eV/atom